Computed, not measured: crystalline La3PmHg2 at its relaxed geometry at the PBE level of DFT.

## Properties
space-group type: P4/mmm (123)
relative energy among the computed polymorphs: 24 meV/atom
calculated total energy: -3.674 eV per atom
DFT formation energy: -1.9 eV per formula unit

a b c (Å): 3.840 3.840 13.006
angles (deg): 90.00 90.00 90.00
Fractional positions:
La  0.000  0.000  0.000
La  0.000  0.000  0.693
La  0.000  0.000  0.307
Pm  0.500  0.500  0.500
Hg  0.500  0.500  0.842
Hg  0.500  0.500  0.158